(1)
Here is an optimized crystal structure of NiW2 from OQMD. Energies are from PBE.

Summary:
Uncorrected energy: -9.736 eV/atom
Polymorph energy (0 for the lowest one): 699 meV per atom
ΔH_f (0 K): 2.3 eV/f.u.

abc: 5.1881 5.1881 16.7407
angles: 90.00 90.00 120.00
Space group P6_3/mmc (No. 194)
Symmetry-distinct sites (fractional):
Ni: 0.0000 0.0000 0.0880
Ni: 0.3333 0.6667 0.1568
W: 0.0000 0.5000 0.0000
W: 0.1626 0.3253 0.7500
W: 0.3333 0.6667 0.6255

(2)
Here is an optimized crystal structure of Ni10W3 from OQMD. Energies are from PBE.

Summary:
Uncorrected energy: -7.238 eV/atom
Polymorph energy (0 for the lowest one): 0 meV per atom
ΔH_f (0 K): 0.5 eV/f.u.

abc: 4.6198 4.6198 25.7221
angles: 90.00 90.00 120.00
Space group R-3m (No. 166, hexagonal axes)
Symmetry-distinct sites (fractional):
Ni: 0.0000 0.0000 0.1539
Ni: 0.0000 0.0000 0.3358
Ni: 0.0047 0.5024 0.9117
W: 0.0000 0.0000 0.0481
W: 0.0000 0.0000 0.5000

Question: uncorrected energy of number 2 (Ni10W3)?
Answer: -7.238 eV/atom

Question: Among the records above, which one has the lowest polymorph energy (0 for the lowest one)?
Answer: Ni10W3

Question: The lowest ΔH_f (0 K) belongs to which entry?
Answer: Ni10W3